This record from OQMD describes BaAgO2 after structural relaxation. The functional is PBE.

## Properties
For the electronic total energy, the calculation gives -5.069 eV/atom. Its space group is No. 123. The calculation puts the volume at 68.1 Å³ per cell. As for the crystal system: tetragonal.

```
data_BaAgO2
_chemical_formula_sum 'Ba1 Ag1 O2'
_symmetry_space_group_name_H-M 'P 1'
_symmetry_Int_Tables_number 1
_cell_length_a 4.302
_cell_length_b 4.302
_cell_length_c 3.679
_cell_angle_alpha 90.00
_cell_angle_beta 90.00
_cell_angle_gamma 90.00
loop_
_symmetry_equiv_pos_as_xyz
'x,y,z'
loop_
_atom_site_label
_atom_site_fract_x
_atom_site_fract_y
_atom_site_fract_z
Ag1 0.500 0.500 0.000
Ba1 0.000 0.000 0.500
O1 0.500 0.000 0.000
O2 0.000 0.500 0.000
```